Material: Pu2ThMoN4
Method: DFT, PBE-GGA
State: optimized geometry

Output
- uncorrected formation energy (eV/atom) = -1.033

abc: 6.209 6.209 11.626
angles: 90.00 90.00 148.52
Fractional positions:
Pu  0.131  0.869  0.548
Pu  0.131  0.869  0.952
Pu  0.869  0.131  0.048
Pu  0.869  0.131  0.452
Th  0.383  0.617  0.750
Th  0.617  0.383  0.250
Mo  0.355  0.645  0.250
Mo  0.645  0.355  0.750
N  0.034  0.966  0.750
N  0.229  0.771  0.123
N  0.229  0.771  0.377
N  0.500  0.500  0.000
N  0.500  0.500  0.500
N  0.771  0.229  0.623
N  0.771  0.229  0.877
N  0.966  0.034  0.250

Material: Ba2LiCu3O6
Method: DFT, PBE-GGA
State: optimized geometry

Output
- ΔE to the lowest computed polymorph (eV per formula unit) = 1.42
- uncorrected formation energy (eV/atom) = -1.348

abc: 3.776 3.776 12.405
angles: 90.00 90.00 90.00
Fractional positions:
Ba  0.000  0.000  0.212
Ba  0.000  0.000  0.788
Li  0.000  0.000  0.500
Cu  0.500  0.500  0.000
Cu  0.500  0.500  0.394
Cu  0.500  0.500  0.606
O  0.000  0.500  0.375
O  0.000  0.500  0.625
O  0.500  0.000  0.375
O  0.500  0.000  0.625
O  0.500  0.500  0.143
O  0.500  0.500  0.857

Material: Ba2MnTe
Method: DFT, PBE-GGA
State: optimized geometry

Output
- uncorrected formation energy (eV/atom) = 0.038

abc: 5.812 5.812 5.812
angles: 60.00 60.00 60.00
Fractional positions:
Ba  0.000  0.000  0.000
Ba  0.250  0.250  0.250
Mn  0.750  0.750  0.750
Te  0.500  0.500  0.500

Material: La2PmN
Method: DFT, PBE-GGA
State: optimized geometry

Output
- uncorrected formation energy (eV/atom) = -0.580

abc: 10.162 10.162 10.162
angles: 20.59 20.59 20.59
Fractional positions:
La  0.119  0.119  0.119
La  0.881  0.881  0.881
Pm  0.000  0.000  0.000
N  0.500  0.500  0.500

Material: Ti2SeO2
Method: DFT, PBE-GGA
State: optimized geometry

Output
- uncorrected formation energy (eV/atom) = -2.158

abc: 5.704 5.704 5.704
angles: 144.16 144.16 51.59
Fractional positions:
Ti  0.149  0.149  0.000
Ti  0.851  0.851  0.000
Se  0.500  0.500  0.000
O  0.250  0.750  0.500
O  0.750  0.250  0.500

Material: Sc5Ge2Se2
Method: DFT, PBE-GGA
State: optimized geometry

Output
- uncorrected formation energy (eV/atom) = -1.156

abc: 7.753 7.753 7.226
angles: 90.00 90.00 55.25
Fractional positions:
Sc  0.000  0.000  0.000
Sc  0.031  0.701  0.663
Sc  0.201  0.531  0.163
Sc  0.299  0.969  0.663
Sc  0.469  0.799  0.163
Sc  0.500  0.500  0.500
Sc  0.531  0.201  0.837
Sc  0.701  0.031  0.337
Sc  0.799  0.469  0.837
Sc  0.969  0.299  0.337
Ge  0.136  0.864  0.365
Ge  0.364  0.636  0.865
Ge  0.636  0.364  0.135
Ge  0.864  0.136  0.635
Se  0.202  0.202  0.000
Se  0.298  0.298  0.500
Se  0.702  0.702  0.500
Se  0.798  0.798  0.000

Material: Ac2CeZn3
Method: DFT, PBE-GGA
State: optimized geometry

Output
- calculated formation energy (eV per formula unit) = -1.2

abc: 3.814 3.814 11.470
angles: 90.00 90.00 90.00
Fractional positions:
Ac  0.000  0.000  0.176
Ac  0.000  0.000  0.824
Ce  0.000  0.000  0.500
Zn  0.500  0.500  0.000
Zn  0.500  0.500  0.356
Zn  0.500  0.500  0.644

Material: Nd2Dy2ErTm2
Method: DFT, PBE-GGA
State: optimized geometry

Output
- calculated formation energy (eV per formula unit) = 0.6

abc: 6.092 6.092 11.789
angles: 108.49 108.49 33.45
Fractional positions:
Nd  0.170  0.170  0.085
Nd  0.830  0.830  0.915
Dy  0.050  0.050  0.768
Dy  0.950  0.950  0.232
Er  0.500  0.500  0.500
Tm  0.273  0.273  0.635
Tm  0.727  0.727  0.365

Material: NaSrCaZn
Method: DFT, PBE-GGA
State: optimized geometry

Output
- calculated formation energy (eV per formula unit) = -0.1

abc: 5.698 5.698 5.698
angles: 60.00 60.00 60.00
Fractional positions:
Na  0.000  0.000  0.000
Sr  0.750  0.750  0.750
Ca  0.250  0.250  0.250
Zn  0.500  0.500  0.500

Material: AuSeI2N
Method: DFT, PBE-GGA
State: optimized geometry

Output
- ΔE to the lowest computed polymorph (eV per formula unit) = 0.65
- uncorrected formation energy (eV/atom) = 1.104

abc: 5.994 5.994 3.773
angles: 90.00 90.00 90.00
Fractional positions:
Au  0.000  0.000  0.000
Se  0.500  0.500  0.500
I  0.000  0.500  0.000
I  0.500  0.000  0.000
N  0.000  0.000  0.500

Material: CsThFeS4
Method: DFT, PBE-GGA
State: optimized geometry

Output
- uncorrected formation energy (eV/atom) = -1.265

abc: 6.597 6.716 9.569
angles: 90.00 108.57 90.00
Fractional positions:
Cs  0.238  0.250  0.441
Cs  0.762  0.750  0.559
Th  0.272  0.250  0.952
Th  0.728  0.750  0.048
Fe  0.277  0.750  0.161
Fe  0.723  0.250  0.839
S  0.065  0.750  0.928
S  0.077  0.750  0.308
S  0.488  0.506  0.808
S  0.488  0.994  0.808
S  0.512  0.006  0.192
S  0.512  0.494  0.192
S  0.923  0.250  0.692
S  0.935  0.250  0.072

Material: Ce2ReH
Method: DFT, PBE-GGA
State: optimized geometry

Output
- VASP energy (eV per atom) = -6.630

abc: 8.661 8.661 8.661
angles: 20.54 20.54 20.54
Fractional positions:
Ce  0.099  0.099  0.099
Ce  0.901  0.901  0.901
Re  0.000  0.000  0.000
H  0.500  0.500  0.500

N(E_F) across the listed records, respectively: 1.1167 0.6777 0.8000 0.6701 0.5226 0.9863 1.8742 1.5937 1.0995 1.1985 0.1114 1.2019 states/eV per atom.